Record 1
! PBE Ba2LaFe, optimized geometry; values from VASP
&SYSTEM
  ibrav = 0, nat = 4, ntyp = 3
/
ATOMIC_SPECIES
Ba 137.33 Ba.upf
La 138.91 La.upf
Fe 55.84 Fe.upf
CELL_PARAMETERS angstrom
7.1312 0.0322 0.0056
3.1317 6.4068 -0.0056
-4.2115 -4.6858 3.3409
ATOMIC_POSITIONS crystal
Ba 0.6846 0.1846 0.5000
Ba 0.0101 0.0101 0.0000
La 0.3475 0.8475 0.5000
Fe 0.4579 0.4579 0.0000
! space group = Imm2, No. 44
! energy relative to the lowest polymorph listed for this composition = 0.0429 eV per atom
! calculated formation energy = 1.4 eV/f.u.


Record 2
! PBE AcDy2Ta, optimized geometry; values from VASP
&SYSTEM
  ibrav = 0, nat = 4, ntyp = 3
/
ATOMIC_SPECIES
Dy 162.50 Dy.upf
Ac 227.00 Ac.upf
Ta 180.95 Ta.upf
CELL_PARAMETERS angstrom
-2.6092 -1.0236 -1.9260
0.5636 -1.9443 -2.7326
-1.8206 -10.8625 5.2373
ATOMIC_POSITIONS crystal
Dy 0.9199 0.9199 0.2404
Dy 0.0801 0.0801 0.7596
Ac 0.5000 0.5000 0.5000
Ta 0.0000 0.0000 0.0000
! space group = R-3m, No. 166
! calculated formation energy = 3.1 eV/f.u.


Record 3
! PBE TlInAs, optimized geometry; values from VASP
&SYSTEM
  ibrav = 0, nat = 12, ntyp = 3
/
ATOMIC_SPECIES
As 74.92 As.upf
Tl 204.38 Tl.upf
In 114.82 In.upf
CELL_PARAMETERS angstrom
-0.5207 -7.0361 0.6744
5.3473 0.0502 4.6515
-4.6226 0.8506 5.3048
ATOMIC_POSITIONS crystal
As 0.3573 0.1427 0.8573
As 0.1427 0.8573 0.3573
As 0.6427 0.6427 0.6427
As 0.8573 0.3573 0.1427
Tl 0.0968 0.5968 0.9032
Tl 0.4032 0.4032 0.4032
Tl 0.9032 0.0968 0.5968
Tl 0.5968 0.9032 0.0968
In 0.0382 0.0382 0.0382
In 0.9618 0.5382 0.4618
In 0.5382 0.4618 0.9618
In 0.4618 0.9618 0.5382
! space group = P2_13, No. 198
! energy relative to the lowest polymorph listed for this composition = 0.0000 eV per atom
! calculated formation energy = 0.1 eV/f.u.


Record 4
! PBE Li3Br2O, optimized geometry; values from VASP
&SYSTEM
  ibrav = 0, nat = 12, ntyp = 3
/
ATOMIC_SPECIES
Br 79.90 Br.upf
Li 6.94 Li.upf
O 16.00 O.upf
CELL_PARAMETERS angstrom
6.0931 0.0000 0.0000
0.0000 5.8761 0.3795
0.0000 -1.6583 5.6500
ATOMIC_POSITIONS crystal
Br 0.7500 0.4734 0.8177
Br 0.2500 0.5266 0.1823
Br 0.2500 0.1823 0.5266
Br 0.7500 0.8177 0.4734
Li 0.0000 0.1255 0.8745
Li 0.5000 0.1255 0.8745
Li 0.2500 0.6566 0.6566
Li 0.5000 0.8745 0.1255
Li 0.7500 0.3434 0.3434
Li 0.0000 0.8745 0.1255
O 0.7500 0.0876 0.0876
O 0.2500 0.9124 0.9124
! space group = Cmcm, No. 63
! energy relative to the elements, uncorrected = -1.29 eV/atom


Record 5
! PBE Ag2AuS, optimized geometry; values from VASP
&SYSTEM
  ibrav = 0, nat = 16, ntyp = 3
/
ATOMIC_SPECIES
S 32.06 S.upf
Au 196.97 Au.upf
Ag 107.87 Ag.upf
CELL_PARAMETERS angstrom
-3.5056 -1.4044 -2.8662
4.2831 -3.2375 -3.6523
-1.4055 -8.4985 5.8834
ATOMIC_POSITIONS crystal
S 0.9999 0.2500 0.6020
S 0.0001 0.7500 0.3980
S 0.4999 0.2500 0.8980
S 0.5001 0.7500 0.1020
Au 0.7500 0.9994 0.2501
Au 0.2500 0.0006 0.7499
Au 0.7500 0.4994 0.7501
Au 0.2500 0.5006 0.2499
Ag 0.2456 0.1185 0.1090
Ag 0.7456 0.8813 0.6089
Ag 0.2544 0.6185 0.6090
Ag 0.7456 0.3815 0.3910
Ag 0.7544 0.3813 0.1089
Ag 0.7544 0.8815 0.8910
Ag 0.2456 0.6187 0.8911
Ag 0.2544 0.1187 0.3911
! space group = Pnna, No. 52
! energy relative to the elements, uncorrected = 0.13 eV/atom


Record 6
! PBE FeTcAs2, optimized geometry; values from VASP
&SYSTEM
  ibrav = 0, nat = 4, ntyp = 3
/
ATOMIC_SPECIES
Fe 55.84 Fe.upf
Tc 98.00 Tc.upf
As 74.92 As.upf
CELL_PARAMETERS angstrom
4.6412 0.0000 0.0000
0.0000 3.1166 0.0917
0.0000 1.4470 4.4174
ATOMIC_POSITIONS crystal
Fe 0.0000 0.4169 0.5419
Tc 0.5000 0.8308 0.7123
As 0.0000 0.7102 0.9515
As 0.5000 0.5421 0.2943
! space group = Pm, No. 6
! energy relative to the lowest polymorph listed for this composition = 0.0000 eV per atom
! calculated formation energy = -0.1 eV/f.u.


Record 7
! PBE MgPb2Br2O2, optimized geometry; values from VASP
&SYSTEM
  ibrav = 0, nat = 7, ntyp = 4
/
ATOMIC_SPECIES
Br 79.90 Br.upf
Pb 207.20 Pb.upf
Mg 24.30 Mg.upf
O 16.00 O.upf
CELL_PARAMETERS angstrom
4.1479 0.0000 0.0000
0.0000 4.1479 0.0000
-2.0740 -2.0740 8.9885
ATOMIC_POSITIONS crystal
Br 0.1650 0.1650 0.3300
Br 0.8350 0.8350 0.6700
Pb 0.5921 0.5921 0.1842
Pb 0.4079 0.4079 0.8158
Mg 0.0000 0.0000 0.0000
O 0.5000 0.0000 0.0000
O 0.0000 0.5000 0.0000
! space group = I4/mmm, No. 139
! energy relative to the elements, uncorrected = -1.41 eV/atom


Record 8
! PBE RbPmAuO2, optimized geometry; values from VASP
&SYSTEM
  ibrav = 0, nat = 10, ntyp = 4
/
ATOMIC_SPECIES
O 16.00 O.upf
Au 196.97 Au.upf
Rb 85.47 Rb.upf
Pm 145.00 Pm.upf
CELL_PARAMETERS angstrom
5.4614 0.0000 0.0000
0.0000 6.7919 0.6846
0.0000 -1.3290 6.6836
ATOMIC_POSITIONS crystal
O 0.3728 0.7989 0.4881
O 0.6272 0.7989 0.9881
O 0.3728 0.2011 0.0119
O 0.6272 0.2011 0.5119
Au 0.0000 0.0000 0.0000
Au 0.0000 0.0000 0.5000
Rb 0.2427 0.5000 0.7500
Rb 0.7573 0.5000 0.2500
Pm 0.5164 0.0000 0.7500
Pm 0.4836 0.0000 0.2500
! space group = P2/c, No. 13
! energy relative to the elements, uncorrected = -1.59 eV/atom


Record 9
! PBE Cr2InAg2S6, optimized geometry; values from VASP
&SYSTEM
  ibrav = 0, nat = 11, ntyp = 4
/
ATOMIC_SPECIES
Cr 52.00 Cr.upf
S 32.06 S.upf
In 114.82 In.upf
Ag 107.87 Ag.upf
CELL_PARAMETERS angstrom
6.1559 -0.2316 1.0767
-3.2440 5.2369 1.0767
-0.0605 -0.1040 7.8139
ATOMIC_POSITIONS crystal
Cr 0.3432 0.6568 0.5000
Cr 0.6568 0.3432 0.5000
S 0.2879 0.9196 0.6786
S 0.9196 0.2879 0.6786
S 0.7121 0.0804 0.3214
S 0.5546 0.5546 0.6864
S 0.4454 0.4454 0.3136
S 0.0804 0.7121 0.3214
In 0.0000 0.0000 0.5000
Ag 0.8083 0.1917 0.0000
Ag 0.1917 0.8083 0.0000
! space group = C2/m, No. 12
! energy relative to the elements, uncorrected = -0.42 eV/atom


Record 10
! PBE RbLiB2, optimized geometry; values from VASP
&SYSTEM
  ibrav = 0, nat = 4, ntyp = 3
/
ATOMIC_SPECIES
B 10.81 B.upf
Rb 85.47 Rb.upf
Li 6.94 Li.upf
CELL_PARAMETERS angstrom
-2.2511 -2.0082 3.7617
0.6234 1.8055 4.4274
-3.6090 2.3397 2.1798
ATOMIC_POSITIONS crystal
B 0.2500 0.2500 0.2500
B 0.7500 0.7500 0.7500
Rb 0.5000 0.5000 0.5000
Li 0.0000 0.0000 0.0000
! space group = Fm-3m, No. 225
! energy relative to the lowest polymorph listed for this composition = 0.9472 eV per atom
! calculated formation energy = 7.7 eV/f.u.


Record 11
! PBE MnNbMo3, optimized geometry; values from VASP
&SYSTEM
  ibrav = 0, nat = 5, ntyp = 3
/
ATOMIC_SPECIES
Mo 95.94 Mo.upf
Nb 92.91 Nb.upf
Mn 54.94 Mn.upf
CELL_PARAMETERS angstrom
-2.6452 2.6919 2.3583
-2.9921 -3.2723 0.3791
1.9634 -1.3602 3.7549
ATOMIC_POSITIONS crystal
Mo 0.5000 0.0000 0.0000
Mo 0.0000 0.0000 0.5000
Mo 0.0000 0.5000 0.0000
Nb 0.5000 0.5000 0.5000
Mn 0.0000 0.0000 0.0000
! space group = Pm-3m, No. 221
! energy relative to the lowest polymorph listed for this composition = 0.0000 eV per atom
! calculated formation energy = 4.9 eV/f.u.


Record 12
! PBE YPa5P6, optimized geometry; values from VASP
&SYSTEM
  ibrav = 0, nat = 12, ntyp = 3
/
ATOMIC_SPECIES
P 30.97 P.upf
Pa 231.04 Pa.upf
Y 88.91 Y.upf
CELL_PARAMETERS angstrom
-3.1672 -5.6342 2.3506
0.1055 -4.8848 -4.8454
5.2334 -4.4593 -0.2766
ATOMIC_POSITIONS crystal
P 0.7504 0.7488 0.0000
P 0.2504 0.9165 0.6658
P 0.2504 0.5823 0.3342
P 0.2496 0.2512 0.0000
P 0.7496 0.0835 0.3342
P 0.7496 0.4177 0.6658
Pa 0.5000 0.5000 0.0000
Pa 0.0000 0.6668 0.6664
Pa 0.5000 0.1651 0.6697
Pa 0.0000 0.3332 0.3336
Pa 0.5000 0.8349 0.3303
Y 0.0000 0.0000 0.0000
! space group = C2/m, No. 12
! calculated formation energy = -16.5 eV/f.u.


no.,VASP energy (eV/f.u.)
1,-15.8
2,-22.1
3,-9.7
4,-21.8
5,-12.6
6,-28.3
7,-32.1
8,-26.9
9,-57.1
10,-8.5
11,-46.9
12,-102.9